This record from Alexandria describes a relaxed structure of La2RhSe. The functional is GGA-PBE.

Unit cell a=6.7607 b=6.7607 c=6.7607 alpha=111.74 beta=111.74 gamma=105.03
Sites, in units of the cell vectors:
La1 0.0986 0.6250 0.9736
La2 0.3750 0.3486 0.4736
La3 0.6514 0.1250 0.0264
La4 0.8750 0.9014 0.5264
Rh1 0.0000 0.0000 0.0000
Rh2 0.7500 0.2500 0.5000
Se1 0.2500 0.7500 0.5000
Se2 0.5000 0.5000 0.0000

V: 29.6 A^3/atom
Formation energy from raw total energies: -1023 meV per atom

***

This record from Alexandria describes a relaxed structure of La2RhSe. The functional is GGA-PBE.

Unit cell a=3.6396 b=3.6396 c=7.4638 alpha=90.00 beta=90.00 gamma=90.00
Sites, in units of the cell vectors:
La1 0.0000 0.0000 0.2349
La2 0.0000 0.0000 0.7651
Rh1 0.5000 0.5000 0.0000
Se1 0.5000 0.5000 0.5000

V: 24.7 A^3/atom
Formation energy from raw total energies: -1178 meV per atom

***

This record from Alexandria describes a relaxed structure of La2RhSe. The functional is GGA-PBE.

Unit cell a=7.4998 b=7.4998 c=7.4998 alpha=33.82 beta=33.82 gamma=33.82
Sites, in units of the cell vectors:
La1 0.0000 0.0000 0.0000
La2 0.1763 0.1763 0.1763
Rh1 0.4264 0.4264 0.4264
Se1 0.7501 0.7501 0.7501

V: 29.1 A^3/atom
Formation energy from raw total energies: -865 meV per atom

***

This record from Alexandria describes a relaxed structure of LaRhSe3. The functional is GGA-PBE.

Unit cell a=4.9182 b=4.9182 c=4.9182 alpha=90.00 beta=90.00 gamma=90.00
Sites, in units of the cell vectors:
La1 0.0000 0.0000 0.0000
Rh1 0.5000 0.5000 0.5000
Se1 0.0000 0.5000 0.5000
Se2 0.5000 0.0000 0.5000
Se3 0.5000 0.5000 0.0000

V: 23.8 A^3/atom
Formation energy from raw total energies: -827 meV per atom
Energy relative to the lowest polymorph listed for this composition: 0 meV/atom

***

This record from Alexandria describes a relaxed structure of LaRh2Se. The functional is GGA-PBE.

Unit cell a=5.4202 b=5.4202 c=5.4202 alpha=139.74 beta=130.34 gamma=65.77
Sites, in units of the cell vectors:
La1 0.0000 0.0000 0.0000
Rh1 0.2871 0.7871 0.5000
Rh2 0.5392 0.5392 0.0000
Se1 0.7363 0.2363 0.5000

V: 19.3 A^3/atom
Formation energy from raw total energies: -550 meV per atom

***

This record from Alexandria describes a relaxed structure of LaRh2Se. The functional is GGA-PBE.

Unit cell a=4.8868 b=4.8868 c=4.9169 alpha=106.94 beta=106.94 gamma=48.56
Sites, in units of the cell vectors:
La1 0.0000 0.0000 0.0000
Rh1 0.4920 0.4920 0.4503
Rh2 0.7842 0.7842 0.3824
Se1 0.2245 0.2245 0.6140

V: 20.9 A^3/atom
Formation energy from raw total energies: -729 meV per atom